1.
Na2CdInS4: relaxed, PBE-GGA.

The space group is P2/m (No. 10) and the conventional cell measures 6.638, 3.842 and 7.128 Å, with angles of 90.00, 108.00 and 90.00 degrees. The distinct sites, in fractional coordinates, are Na at (0.000, 0.000, 0.000), Na at (0.500, 0.500, 0.000), Cd at (0.000, 0.500, 0.500), In at (0.500, 0.000, 0.500), S at (0.248, 0.000, 0.722) and S at (0.264, 0.500, 0.278).

Its uncorrected formation energy is -5.57 eV/f.u. The total moment comes out at 0.00 μB/atom.



2.
NaCd2InS4: relaxed, PBE-GGA.

The space group is I-42m (No. 121) and the conventional cell measures 6.110, 6.110 and 11.419 Å, with angles of 90.00, 90.00 and 90.00 degrees. The distinct sites, in fractional coordinates, are Na at (0.000, 0.000, 0.000), Cd at (0.000, 0.500, 0.250), In at (0.000, 0.000, 0.500) and S at (0.234, 0.234, 0.627).

Its uncorrected formation energy is -5.96 eV/f.u. The total moment comes out at 0.00 μB/atom.



3.
NaCd2InSe4: relaxed, PBE-GGA.

The space group is I-42m (No. 121) and the conventional cell measures 6.385, 6.385 and 12.000 Å, with angles of 90.00, 90.00 and 90.00 degrees. The distinct sites, in fractional coordinates, are Na at (0.000, 0.000, 0.000), Cd at (0.000, 0.500, 0.250), In at (0.000, 0.000, 0.500) and Se at (0.236, 0.236, 0.627).

Its uncorrected formation energy is -5.73 eV/f.u. The total moment comes out at 0.00 μB/atom.



4.
NaCdInSe3: relaxed, PBE-GGA.

The space group is P2_1/m (No. 11) and the conventional cell measures 8.133, 4.092 and 11.217 Å, with angles of 90.00, 106.48 and 90.00 degrees. The distinct sites, in fractional coordinates, are Na at (0.211, 0.250, 0.161), Cd at (0.343, 0.750, 0.911), In at (0.106, 0.250, 0.634), Se at (0.072, 0.250, 0.854), Se at (0.221, 0.750, 0.530) and Se at (0.471, 0.750, 0.163).

Its uncorrected formation energy is -3.98 eV/f.u. The total moment comes out at 0.00 μB/atom.



5.
NaCd2In5Sn: relaxed, PBE-GGA.

The space group is P4/mbm (No. 127) and the conventional cell measures 7.488, 7.488 and 8.942 Å, with angles of 90.00, 90.00 and 90.00 degrees. The distinct sites, in fractional coordinates, are Na at (0.000, 0.500, 0.000), Cd at (0.129, 0.371, 0.500), In at (0.000, 0.000, 0.500), In at (0.219, 0.719, 0.224) and Sn at (0.000, 0.000, 0.000).

The total moment comes out at 0.00 μB/atom. Its formation energy is 0.6 eV/f.u.



6.
NaCd2In2Sn: relaxed, PBE-GGA.

The space group is Pmc2_1 (No. 26) and the conventional cell measures 4.795, 8.958 and 7.528 Å, with angles of 90.00, 90.00 and 90.00 degrees. The distinct sites, in fractional coordinates, are Na at (0.000, 0.051, 0.000), Cd at (0.000, 0.357, 0.769), Cd at (0.500, 0.139, 0.282), In at (0.000, 0.325, 0.356), In at (0.500, 0.438, 0.042) and Sn at (0.500, 0.181, 0.684).

The total moment comes out at 0.00 μB/atom. Its formation energy is -0.2 eV/f.u.



7.
Na2Cd2InSn2: relaxed, PBE-GGA.

The space group is R-3m (No. 166, hexagonal axes) and the conventional cell measures 5.1568, 5.1568 and 25.5226 Å, with angles of 90.00, 90.00 and 120.00 degrees. The distinct sites, in fractional coordinates, are Na at (0.0000, 0.0000, 0.1307), Cd at (0.0000, 0.0000, 0.3881), In at (0.0000, 0.0000, 0.0000) and Sn at (0.0000, 0.0000, 0.2606).

The total moment comes out at 0.00 μB/atom. Its formation energy is -0.4 eV/f.u.



8.
Na2Cd3InSn4: relaxed, PBE-GGA.

The space group is P-4m2 (No. 115) and the conventional cell measures 4.749, 4.749 and 12.846 Å, with angles of 90.00, 90.00 and 90.00 degrees. The distinct sites, in fractional coordinates, are Na at (0.000, 0.500, 0.248), Cd at (0.000, 0.500, 0.856), Cd at (0.500, 0.500, 0.500), In at (0.000, 0.000, 0.500), Sn at (0.000, 0.000, 0.000), Sn at (0.000, 0.500, 0.639) and Sn at (0.500, 0.500, 0.000).

The total moment comes out at 0.00 μB/atom. Its formation energy is -0.8 eV/f.u.



9.
NaCdInSn: relaxed, PBE-GGA.

The space group is F-43m (No. 216) and the conventional cell measures 7.464, 7.464 and 7.464 Å, with angles of 90.00, 90.00 and 90.00 degrees. The distinct sites, in fractional coordinates, are Na at (0.000, 0.000, 0.000), Cd at (0.250, 0.250, 0.250), In at (0.250, 0.250, 0.750) and Sn at (0.000, 0.000, 0.500).

The total moment comes out at 0.00 μB/atom. As for the offset from the most stable computed form: 15 meV per atom. Its formation energy is -0.3 eV/f.u.



10.
NaCdInSn: relaxed, PBE-GGA.

The space group is Pmmm (No. 47) and the conventional cell measures 4.615, 4.688 and 4.689 Å, with angles of 90.00, 90.00 and 90.00 degrees. The distinct sites, in fractional coordinates, are Na at (0.000, 0.000, 0.000), Cd at (0.500, 0.000, 0.500), In at (0.000, 0.500, 0.500) and Sn at (0.500, 0.500, 0.000).

The total moment comes out at 0.00 μB/atom. As for the offset from the most stable computed form: 0 meV per atom. Its formation energy is -0.3 eV/f.u.



11.
NaCd2In2Sn2: relaxed, PBE-GGA.

The space group is R-3m (No. 166, hexagonal axes) and the conventional cell measures 5.3473, 5.3473 and 22.1893 Å, with angles of 90.00, 90.00 and 120.00 degrees. The distinct sites, in fractional coordinates, are Na at (0.0000, 0.0000, 0.0000), Cd at (0.0000, 0.0000, 0.2806), In at (0.0000, 0.0000, 0.1417) and Sn at (0.0000, 0.0000, 0.4231).

The total moment comes out at 0.00 μB/atom. Its formation energy is -0.2 eV/f.u.



12.
NaSr4CdIn2: relaxed, PBE-GGA.

The space group is R-3m (No. 166, hexagonal axes) and the conventional cell measures 5.8435, 5.8435 and 28.6634 Å, with angles of 90.00, 90.00 and 120.00 degrees. The distinct sites, in fractional coordinates, are Na at (0.0000, 0.0000, 0.0000), Sr at (0.0000, 0.0000, 0.1294), Sr at (0.0000, 0.0000, 0.3798), Cd at (0.0000, 0.0000, 0.5000) and In at (0.0000, 0.0000, 0.2535).

The total moment comes out at 0.00 μB/atom. Its formation energy is -2.5 eV/f.u.



13.
NaSrCdIn: relaxed, PBE-GGA.

The space group is Cm (No. 8) and the conventional cell measures 9.649, 5.534 and 5.533 Å, with angles of 90.00, 124.90 and 90.00 degrees. The distinct sites, in fractional coordinates, are Na at (0.000, 0.000, 0.000), Sr at (0.000, 0.500, 0.500), Cd at (0.250, 0.500, 0.250) and In at (0.250, 0.000, 0.750).

The total moment comes out at 0.00 μB/atom. Its formation energy is -0.8 eV/f.u.



14.
Na2SrCd2In2: relaxed, PBE-GGA.

The space group is C2/m (No. 12) and the conventional cell measures 8.937, 5.175 and 9.031 Å, with angles of 90.00, 109.50 and 90.00 degrees. The distinct sites, in fractional coordinates, are Na at (0.139, 0.000, 0.415), Sr at (0.000, 0.000, 0.000), Cd at (0.235, 0.500, 0.204) and In at (0.093, 0.500, 0.778).

The total moment comes out at 0.00 μB/atom. Its formation energy is -1.6 eV/f.u.



15.
NaTbCd2In2: relaxed, PBE-GGA.

The space group is P-3m1 (No. 164) and the conventional cell measures 4.9743, 4.9743 and 7.1633 Å, with angles of 90.00, 90.00 and 120.00 degrees. The distinct sites, in fractional coordinates, are Na at (0.0000, 0.0000, 0.0000), Tb at (0.0000, 0.0000, 0.5000), Cd at (0.3333, 0.6667, 0.2653) and In at (0.3333, 0.6667, 0.7307).

The total moment comes out at 0.00 μB/atom. Its formation energy is -1.6 eV/f.u.



16.
NaTbCdIn: relaxed, PBE-GGA.

The space group is F-43m (No. 216) and the conventional cell measures 7.438, 7.438 and 7.438 Å, with angles of 90.00, 90.00 and 90.00 degrees. The distinct sites, in fractional coordinates, are Na at (0.000, 0.000, 0.000), Tb at (0.000, 0.000, 0.500), Cd at (0.250, 0.250, 0.250) and In at (0.250, 0.250, 0.750).

The total moment comes out at 0.00 μB/atom. Its formation energy is -0.9 eV/f.u.



17.
Na4Tl2CdIn2: relaxed, PBE-GGA.

The space group is P-1 (No. 2) and the conventional cell measures 5.598, 6.049 and 7.690 Å, with angles of 74.06, 81.05 and 83.35 degrees. The distinct sites, in fractional coordinates, are Na at (0.105, 0.060, 0.278), Na at (0.327, 0.180, 0.826), Tl at (0.451, 0.718, 0.615), Cd at (0.000, 0.500, 0.500) and In at (0.221, 0.607, 0.054).

The total moment comes out at 0.00 μB/atom. Its formation energy is -0.8 eV/f.u.



18.
Na2Tl2CdIn: relaxed, PBE-GGA.

The space group is Ibam (No. 72) and the conventional cell measures 6.384, 16.832 and 6.331 Å, with angles of 90.00, 90.00 and 90.00 degrees. The distinct sites, in fractional coordinates, are Na at (0.238, 0.169, 0.000), Tl at (0.238, 0.361, 0.000), Cd at (0.000, 0.500, 0.250) and In at (0.000, 0.000, 0.250).

The total moment comes out at 0.00 μB/atom. Its formation energy is -0.5 eV/f.u.



19.
NaTl3CdIn: relaxed, PBE-GGA.

The space group is P2_1/m (No. 11) and the conventional cell measures 7.690, 4.804 and 9.629 Å, with angles of 90.00, 109.32 and 90.00 degrees. The distinct sites, in fractional coordinates, are Na at (0.157, 0.250, 0.289), Tl at (0.185, 0.750, 0.049), Tl at (0.187, 0.250, 0.788), Tl at (0.187, 0.750, 0.536), Cd at (0.497, 0.750, 0.382) and In at (0.494, 0.250, 0.128).

The total moment comes out at 0.00 μB/atom. Its formation energy is -0.2 eV/f.u.



20.
NaTl5Cd2In: relaxed, PBE-GGA.

The space group is Cmc2_1 (No. 36) and the conventional cell measures 3.524, 16.984 and 17.253 Å, with angles of 90.00, 90.00 and 90.00 degrees. The distinct sites, in fractional coordinates, are Na at (0.000, 0.050, 0.000), Tl at (0.000, 0.090, 0.351), Tl at (0.000, 0.091, 0.657), Tl at (0.000, 0.219, 0.889), Tl at (0.000, 0.249, 0.221), Tl at (0.000, 0.423, 0.677), Cd at (0.000, 0.375, 0.005), Cd at (0.000, 0.430, 0.321) and In at (0.000, 0.276, 0.555).

The total moment comes out at 0.00 μB/atom. Its formation energy is 0.0 eV/f.u.



21.
Na2Tl4CdIn: relaxed, PBE-GGA.

The space group is P2/m (No. 10) and the conventional cell measures 5.524, 5.453 and 7.322 Å, with angles of 90.00, 91.19 and 90.00 degrees. The distinct sites, in fractional coordinates, are Na at (0.000, 0.000, 0.000), Na at (0.500, 0.500, 0.500), Tl at (0.000, 0.500, 0.247), Tl at (0.500, 0.000, 0.248), Cd at (0.500, 0.500, 0.000) and In at (0.000, 0.000, 0.500).

The total moment comes out at 0.00 μB/atom. Its formation energy is -0.7 eV/f.u.



22.
NaTl4CdIn2: relaxed, PBE-GGA.

The space group is Cmcm (No. 63) and the conventional cell measures 4.250, 14.874 and 15.186 Å, with angles of 90.00, 90.00 and 90.00 degrees. The distinct sites, in fractional coordinates, are Na at (0.000, 0.199, 0.250), Tl at (0.000, 0.000, 0.000), Tl at (0.000, 0.299, 0.583), Tl at (0.000, 0.463, 0.750), Cd at (0.000, 0.127, 0.750) and In at (0.000, 0.374, 0.108).

The total moment comes out at 0.00 μB/atom. Its formation energy is 0.2 eV/f.u.



23.
Na5Tl2Cd2In: relaxed, PBE-GGA.

The space group is P4/mbm (No. 127) and the conventional cell measures 10.856, 10.856 and 4.944 Å, with angles of 90.00, 90.00 and 90.00 degrees. The distinct sites, in fractional coordinates, are Na at (0.000, 0.500, 0.000), Na at (0.114, 0.174, 0.000), Tl at (0.157, 0.657, 0.500), Cd at (0.138, 0.362, 0.500) and In at (0.000, 0.000, 0.500).

The total moment comes out at 0.00 μB/atom. Its formation energy is -0.2 eV/f.u.